BaTcOs2 | PBE | relaxed

Unit cell a=2.9928 b=4.7730 c=5.1993 alpha=90.00 beta=90.00 gamma=90.00
With the nearest neighbours (Å) after each atom.
Fractional positions:
Ba 0.0000 0.5000 0.5000  4 Tc 2.82, 2 Ba 2.99, 4 Os 3.00
Os 0.0000 0.0000 0.0000  6 Os 2.82-2.99, 4 Tc 3.00
Os 0.5000 0.5000 0.0000  6 Os 2.82-2.99, 4 Ba 3.00
Tc 0.5000 0.0000 0.5000  4 Ba 2.82, 2 Tc 2.99, 4 Os 3.00

symmetry: Pmmm
distance to the lowest polymorph of the same formula: 419.7 kJ/mol of formula units
energy relative to the elements: 1549 meV/atom